# PBE with a Hubbard U Rb2AcCrF8, optimized geometry
# - E (eV/atom) = -5.560
# - total magnetization (μB per formula unit) = 3.000
data_Rb2AcCrF8
_cell_length_a 4.459
_cell_length_b 6.453
_cell_length_c 7.537
_cell_angle_alpha 90.00
_cell_angle_beta 90.00
_cell_angle_gamma 95.18
_symmetry_space_group_name_H-M 'P 1'
_symmetry_Int_Tables_number 1
loop_
_symmetry_equiv_pos_as_xyz
'x,y,z'
loop_
_atom_site_label
_atom_site_fract_x
_atom_site_fract_y
_atom_site_fract_z
F1 0.085 0.815 0.791
F2 0.915 0.185 0.791
F3 0.488 0.212 0.500
Rb1 0.500 0.500 0.226
F4 0.915 0.185 0.209
Ac1 0.000 0.000 0.500
Rb2 0.500 0.500 0.774
F5 0.085 0.815 0.209
F6 0.512 0.788 0.500
F7 0.368 0.175 0.000
Cr1 0.000 0.000 0.000
F8 0.632 0.825 0.000